(w)
## TcPt4Rh2 (PBE)

Data for TcPt4Rh2 after structural relaxation.

Unit cell a=9.6833 b=10.0879 c=4.7711 alpha=104.03 beta=80.15 gamma=152.09
Fractional positions:
Tc 0.3933 0.3589 0.7114
Tc 0.6067 0.6411 0.2886
Pt 0.7471 0.5070 0.9972
Pt 0.2529 0.4930 0.0028
Pt 0.5299 0.2169 0.4289
Pt 0.4701 0.7831 0.5711
Pt 0.8930 0.3550 0.7133
Pt 0.3196 0.9313 0.8569
Pt 0.1070 0.6450 0.2867
Pt 0.6804 0.0687 0.1431
Rh 0.8257 0.9238 0.8510
Rh 0.1743 0.0762 0.1490
Rh 0.0452 0.2126 0.4312
Rh 0.9548 0.7874 0.5688

Results
Density of states at the Fermi level ... 18.19 states/eV per cell
Space-group type ... P-1 (2)
M_tot ... 0.00 μB per cell

(x)
## TcPt4Rh2 (PBE)

Data for TcPt4Rh2 after structural relaxation.

Unit cell a=3.9463 b=2.7380 c=10.4404 alpha=97.53 beta=90.00 gamma=90.00
Fractional positions:
Tc 0.0000 0.5000 0.0000
Pt 0.5000 0.0651 0.1303
Pt 0.0000 0.3639 0.7278
Pt 0.5000 0.9349 0.8697
Pt 0.0000 0.6361 0.2722
Rh 0.5000 0.1985 0.3970
Rh 0.5000 0.8015 0.6030

Results
Density of states at the Fermi level ... 11.18 states/eV per cell
Space-group type ... Cmmm (65)
M_tot ... 0.00 μB per cell

Which of them is the most stable, and which is the least stable? (w) and (x), in that order.